No. 1
Ce2CrCoN5 after structural relaxation. Source: the Alexandria database, functional PBE-GGA. Values from VASP.

As for the total magnetization: 1.899 μB per formula unit. The total energy is -0.31414 hartree per atom. As for the crystal system: orthorhombic. Its symmetry is Cmc2_1, No. 36. The value obtained for the uncorrected formation energy is -71.9 kJ per mole of atoms.

```
&SYSTEM
  ibrav = 0, nat = 18, ntyp = 4
/
ATOMIC_SPECIES
Ce 140.12 Ce.upf
Cr 52.00 Cr.upf
Co 58.93 Co.upf
N 14.01 N.upf
ATOMIC_POSITIONS crystal
Ce 0.1249 0.8751 0.5000
Ce 0.1251 0.8749 0.8815
Ce 0.8751 0.1249 0.0000
Ce 0.8749 0.1251 0.3815
Cr 0.2072 0.7928 0.2005
Cr 0.7928 0.2072 0.7005
Co 0.4324 0.5676 0.6532
Co 0.5676 0.4324 0.1532
N 0.0420 0.9580 0.2214
N 0.3005 0.6995 0.8383
N 0.3074 0.6926 0.5620
N 0.3434 0.6566 0.1955
N 0.4943 0.5057 0.4758
N 0.5057 0.4943 0.9758
N 0.6566 0.3434 0.6955
N 0.6926 0.3074 0.0620
N 0.6995 0.3005 0.3383
N 0.9580 0.0420 0.7214
CELL_PARAMETERS angstrom
1.6510 -6.7330 0.0000
1.6510 6.7330 0.0000
0.0000 0.0000 9.4032
```

---

No. 2
KLi2Ag after structural relaxation. Source: the Alexandria database, functional PBE-GGA. Values from VASP.

As for the total magnetization: 0.000 μB per formula unit. The total energy is -0.07158 hartree per atom. As for the energy of formation: 0.00 eV per atom. As for the crystal system: trigonal. Its symmetry is R3m, No. 160.

```
&SYSTEM
  ibrav = 0, nat = 12, ntyp = 3
/
ATOMIC_SPECIES
K 39.10 K.upf
Li 6.94 Li.upf
Ag 107.87 Ag.upf
ATOMIC_POSITIONS crystal
K 0.0000 0.0000 0.0000
K 0.3333 0.6667 0.6667
K 0.6667 0.3333 0.3333
Li 0.0000 0.0000 0.5222
Li 0.0000 0.0000 0.8116
Li 0.3333 0.6667 0.1888
Li 0.3333 0.6667 0.4783
Li 0.6667 0.3333 0.1450
Li 0.6667 0.3333 0.8555
Ag 0.0000 0.0000 0.1888
Ag 0.3333 0.6667 0.8554
Ag 0.6667 0.3333 0.5221
CELL_PARAMETERS angstrom
4.7406 0.0000 0.0000
-2.3703 4.1055 0.0000
0.0000 0.0000 18.4013
```

---

No. 3
PrHo2Sb2 after structural relaxation. Source: the Alexandria database, functional PBE-GGA. Values from VASP.

As for the total magnetization: 0.000 μB per formula unit. The total energy is -0.18870 hartree per atom. As for the crystal system: monoclinic. Its symmetry is C2/m, No. 12. The value obtained for the uncorrected formation energy is -67.4 kJ per mole of atoms.

```
&SYSTEM
  ibrav = 0, nat = 10, ntyp = 3
/
ATOMIC_SPECIES
Pr 140.91 Pr.upf
Ho 164.93 Ho.upf
Sb 121.76 Sb.upf
ATOMIC_POSITIONS crystal
Pr 0.0000 0.0000 0.0000
Pr 0.5000 0.5000 0.0000
Ho 0.0000 0.2506 0.5000
Ho 0.0000 0.7494 0.5000
Ho 0.5000 0.2494 0.5000
Ho 0.5000 0.7506 0.5000
Sb 0.1057 0.5000 0.2096
Sb 0.3943 0.0000 0.7904
Sb 0.6057 0.0000 0.2096
Sb 0.8943 0.5000 0.7904
CELL_PARAMETERS angstrom
6.3890 0.0000 0.0000
0.0000 6.4248 0.0000
-3.1843 0.0000 7.2248
```

---

No. 4
CuHPd3 after structural relaxation. Source: the Alexandria database, functional PBE-GGA. Values from VASP.

As for the total magnetization: 0.000 μB per formula unit. The total energy is -0.17151 hartree per atom. As for the crystal system: triclinic. The polymorph energy (0 for the lowest one) comes out at 0.020 eV/atom. Its symmetry is P1, No. 1.

```
&SYSTEM
  ibrav = 0, nat = 10, ntyp = 3
/
ATOMIC_SPECIES
Cu 63.55 Cu.upf
H 1.01 H.upf
Pd 106.42 Pd.upf
ATOMIC_POSITIONS crystal
Cu 0.0000 0.0000 0.0000
Cu 0.4727 0.2438 0.5111
H 0.6199 0.9390 0.1253
H 0.7497 0.6279 0.7493
Pd 0.4643 0.7451 0.0072
Pd 0.4656 0.2484 0.0071
Pd 0.4758 0.7426 0.5123
Pd 0.9644 0.4890 0.0220
Pd 0.9785 0.0000 0.5118
Pd 0.9792 0.4868 0.5126
CELL_PARAMETERS angstrom
4.8689 0.0000 0.0000
0.0069 5.5731 0.0000
1.6648 2.7422 4.5752
```

---

No. 5
Li4Cd3Rh after structural relaxation. Source: the Alexandria database, functional PBE-GGA. Values from VASP.

As for the total magnetization: 0.000 μB per formula unit. The total energy is -0.08938 hartree per atom. As for the energy of formation: -0.21 eV per atom. As for the crystal system: monoclinic. The polymorph energy (0 for the lowest one) comes out at 0.000 eV/atom. Its symmetry is C2/m, No. 12.

```
&SYSTEM
  ibrav = 0, nat = 16, ntyp = 3
/
ATOMIC_SPECIES
Li 6.94 Li.upf
Cd 112.41 Cd.upf
Rh 102.91 Rh.upf
ATOMIC_POSITIONS crystal
Li 0.1145 0.0000 0.1147
Li 0.2460 0.0000 0.7465
Li 0.2540 0.5000 0.2535
Li 0.3855 0.5000 0.8853
Li 0.6145 0.5000 0.1147
Li 0.7460 0.5000 0.7465
Li 0.7540 0.0000 0.2535
Li 0.8855 0.0000 0.8853
Cd 0.0000 0.5000 0.0000
Cd 0.1265 0.5000 0.6264
Cd 0.3735 0.0000 0.3736
Cd 0.5000 0.0000 0.0000
Cd 0.6265 0.0000 0.6264
Cd 0.8735 0.5000 0.3736
Rh 0.0000 0.0000 0.5000
Rh 0.5000 0.5000 0.5000
CELL_PARAMETERS angstrom
17.5037 0.0000 0.0000
0.0000 3.9598 0.0000
-0.9684 0.0000 4.0103
```

---

No. 6
Rb3TlCl4 after structural relaxation. Source: the Alexandria database, functional PBE-GGA. Values from VASP.

As for the total magnetization: 0.000 μB per formula unit. The total energy is -0.11980 hartree per atom. As for the crystal system: orthorhombic. The polymorph energy (0 for the lowest one) comes out at 0.038 eV/atom. Its symmetry is Pmn2_1, No. 31. The value obtained for the uncorrected formation energy is -161.9 kJ per mole of atoms.

```
&SYSTEM
  ibrav = 0, nat = 16, ntyp = 3
/
ATOMIC_SPECIES
Rb 85.47 Rb.upf
Tl 204.38 Tl.upf
Cl 35.45 Cl.upf
ATOMIC_POSITIONS crystal
Rb 0.0000 0.1603 0.0000
Rb 0.2487 0.3312 0.5000
Rb 0.2513 0.6688 0.0000
Rb 0.5000 0.8397 0.5000
Rb 0.7487 0.6688 0.0000
Rb 0.7513 0.3312 0.5000
Tl 0.0000 0.8288 0.4997
Tl 0.5000 0.1712 0.9997
Cl 0.0000 0.1562 0.5001
Cl 0.0000 0.8274 0.0051
Cl 0.2478 0.6698 0.5000
Cl 0.2522 0.3302 0.0000
Cl 0.5000 0.1726 0.5051
Cl 0.5000 0.8438 0.0001
Cl 0.7478 0.3302 0.0000
Cl 0.7522 0.6698 0.5000
CELL_PARAMETERS angstrom
11.2662 0.0000 0.0000
0.0000 9.6775 0.0000
0.0000 0.0000 6.5871
```

---

> Which value of total energy does entry 6 give?

-0.11980 hartree per atom